(1)
PBE Mg2TlSiPt, relaxed; size of the total moment = 0.000 μB/atom; energy relative to the elements, uncorrected = -1.278 eV/f.u.
1.0
5.153 0.000 0.000
0.000 5.153 0.000
0.000 0.000 4.545
Pt Mg Tl Si
1 2 1 1
Cartesian
0.000 0.000 0.000
2.576 0.000 0.000
0.000 2.576 0.000
2.576 2.576 2.273
0.000 0.000 2.273

***

(2)
PBE Tm2MgSi3Pt4, relaxed; size of the total moment = 0.000 μB/atom; energy relative to the elements, uncorrected = -10.284 eV/f.u.
1.0
-2.419 -0.651 -3.289
3.318 -1.047 -2.233
-1.208 -9.895 2.847
Tm Si Pt Mg
2 3 4 1
Cartesian
-1.505 -2.749 -0.947
0.747 -7.995 1.033
-0.604 -4.948 1.423
-2.260 -8.932 0.832
1.502 -1.813 -0.746
-1.989 -6.714 0.194
1.231 -4.030 -0.108
0.000 0.000 0.000
0.449 -0.849 -2.761
-0.155 -5.797 -1.338

***

(3)
PBE MgUSi2Pt5, relaxed; size of the total moment = 0.246 μB/atom; energy relative to the elements, uncorrected = -5.217 eV/f.u.
1.0
3.938 0.000 0.000
0.000 3.938 0.000
0.000 0.000 11.716
Pt Mg Si U
5 1 2 1
Cartesian
0.000 1.969 2.124
1.969 0.000 9.592
1.969 0.000 2.124
1.969 1.969 5.858
0.000 1.969 9.592
0.000 0.000 5.858
1.969 1.969 3.534
1.969 1.969 8.182
0.000 0.000 0.000